The following is a PBE calculation of a relaxed PdPtS2N crystal, from Alexandria.

Unit cell a=4.9335 b=4.9335 c=3.6313 alpha=90.00 beta=90.00 gamma=90.00
Closest atoms and distances in Å follow each position.
Space group P4/mmm (No. 123)
Asymmetric unit:
Pd  0.0000  0.0000  0.0000 [1 per cell]  8 S 3.06
Pt  0.5000  0.5000  0.5000 [1 per cell]  2 N 1.82
S  0.0000  0.5000  0.5000 [2 per cell]  2 Pt 2.47
N  0.5000  0.5000  0.0000 [1 per cell]  2 Pt 1.82

Excess energy over the best structure of this formula in the dataset in eV per atom: 0.000
Calculated total energy in eV per atom: -4.696
Uncorrected formation energy in eV/atom: 0.867